No. 1
# ZnBiAs

A relaxed structure of ZnBiAs (PBE, the Alexandria database).

a b c (Å): 4.9665 4.0602 4.0602
angles (deg): 120.00 90.00 90.00
Fractional coordinates of all 3 atoms:
1 Bi 0.6632 0.3333 0.6667
2 Zn 0.0549 0.0000 0.0000
3 As 0.2820 0.6667 0.3333

## Properties
Magnetization ... 0.00 μB per cell
Excess energy over the best structure of this formula in the dataset ... 0 meV per atom
Space-group type ... P3m1 (156)
E_form ... 66 meV per atom

=====

No. 2
# LaNbRe3

A relaxed structure of LaNbRe3 (PBE, the Alexandria database).

a b c (Å): 4.8552 4.8552 4.8552
angles (deg): 90.00 90.00 90.00
Fractional coordinates of all 5 atoms:
1 Nb 0.0000 0.0000 0.0000
2 La 0.5000 0.5000 0.5000
3 Re 0.0000 0.0000 0.5000
4 Re 0.0000 0.5000 0.0000
5 Re 0.5000 0.0000 0.0000

## Properties
Magnetization ... 0.00 μB per cell
Excess energy over the best structure of this formula in the dataset ... 0 meV per atom
Space-group type ... Pm-3m (221)
E_form ... 1485 meV per atom